The following is a DFT calculation (PBE) of a geometry-optimized Rb2PrMnSe4 structure.

abc: 8.5006 8.9505 12.8984
angles: 90.00 90.00 90.00
Last column: nearest neighbours and their distance in Å.
Space group Imma (No. 74)
Unique sites:
Rb (0.0000, 0.0000, 0.0000) [4 per cell]  6 Se 3.24-3.42
Rb (0.2500, 0.2500, 0.2500) [4 per cell]  6 Se 3.38-3.57
Pr (0.0000, 0.0000, 0.5000) [4 per cell]  6 Se 2.95-3.15
Mn (0.2500, 0.2500, 0.7500) [4 per cell]  4 Se 2.67
Se (0.0000, 0.0700, 0.7397) [8 per cell]  2 Mn 2.67
Se (0.2252, 0.2500, 0.5113) [8 per cell]  2 Pr 2.95, 1 Mn 3.09, 2 Rb 3.24

The calculation puts the total magnetization at 16.03 μB/cell. The total DFT energy (no corrections) comes out at -4.810 eV/atom. The uncorrected formation energy is -1.082 eV per atom.